# 1
Na2Sr6Pt | GGA-PBE | optimized geometry

Cell: 8.454 8.454 8.456 Å, 120.00 120.00 60.01°
Positions (direct):
Na1 0.250 0.250 0.250
Na2 0.750 0.750 0.750
Sr1 0.248 0.248 0.749
Sr2 0.248 0.752 0.252
Sr3 0.248 0.752 0.748
Sr4 0.752 0.248 0.252
Sr5 0.752 0.248 0.748
Sr6 0.752 0.752 0.251
Pt1 0.000 0.000 0.500

Summary:
Calculated volume (Å³/atom): 47.5
Total energy (eV per atom): -2.340
Magnetization (μB per cell): 0.001

---

# 2
Nd2Dy12Y7 | GGA-PBE | optimized geometry

Cell: 12.143 12.143 5.569 Å, 90.00 90.00 120.00°
Positions (direct):
Nd1 0.000 0.000 0.000
Nd2 0.333 0.667 0.500
Dy1 0.001 0.340 0.500
Dy2 0.178 0.367 0.000
Dy3 0.188 0.822 0.000
Dy4 0.332 0.153 0.000
Dy5 0.339 0.999 0.500
Dy6 0.499 0.326 0.500
Dy7 0.633 0.812 0.000
Dy8 0.660 0.661 0.500
Dy9 0.674 0.173 0.500
Dy10 0.821 0.668 0.000
Dy11 0.827 0.501 0.500
Dy12 0.847 0.179 0.000
Y1 0.005 0.515 0.000
Y2 0.006 0.827 0.500
Y3 0.173 0.179 0.500
Y4 0.485 0.491 0.000
Y5 0.509 0.995 0.000
Y6 0.667 0.333 0.000
Y7 0.821 0.994 0.500

Summary:
Calculated volume (Å³/atom): 33.9
Total energy (eV per atom): -5.059
Magnetization (μB per cell): 0.000